Er2ScRh3 (PBE, optimized geometry); space-group type = P4/mmm, No. 123; magnetic moment = 0.00 μB/atom; energy = -7.202 eV/atom
1.0
3.3387 0.0000 0.0000
0.0000 3.3387 0.0000
0.0000 0.0000 10.0294
Rh Er Sc
3 2 1
direct
0.0000 0.0000 0.0000
0.0000 0.0000 0.3442
0.0000 0.0000 0.6558
0.5000 0.5000 0.8284
0.5000 0.5000 0.1716
0.5000 0.5000 0.5000

***

Er3TlRh2 (PBE, optimized geometry); space-group type = P4/mmm, No. 123; magnetic moment = 0.00 μB/atom; energy = -5.855 eV/atom
1.0
-0.8443 0.3706 -3.2279
-2.8132 -1.7519 0.5347
-5.7326 10.0145 2.6493
Er Tl Rh
3 1 2
direct
0.0000 0.0000 0.0000
0.0000 0.0000 0.2914
0.0000 0.0000 0.7086
0.5000 0.5000 0.5000
0.5000 0.5000 0.1502
0.5000 0.5000 0.8498

***

NiPd2Rh2 (PBE, optimized geometry); space-group type = P4/mbm, No. 127; magnetic moment = 0.40 μB/atom; energy = -5.802 eV/atom
1.0
-0.5109 -1.0939 6.1106
5.6812 -2.5536 0.0179
1.5990 3.5628 0.7715
Rh Pd Ni
4 4 2
direct
0.6401 0.1401 0.0000
0.1401 0.3599 0.0000
0.3599 0.8599 0.0000
0.8599 0.6401 0.0000
0.3384 0.1616 0.5000
0.6616 0.8384 0.5000
0.1616 0.6616 0.5000
0.8384 0.3384 0.5000
0.5000 0.5000 0.0000
0.0000 0.0000 0.0000

***

Ag3Cl2 (PBE, optimized geometry); space-group type = P-3m1, No. 164; formation energy from raw total energies = -1.04 eV/f.u.; magnetic moment = 0.00 μB/atom
1.0
2.5604 1.0037 -2.2196
-3.3864 0.2519 -0.9790
-0.3769 8.9213 3.5993
Cl Ag
2 3
direct
0.3333 0.6667 0.8073
0.6667 0.3333 0.1927
0.3333 0.6667 0.3964
0.0000 0.0000 0.0000
0.6667 0.3333 0.6036

***

Ti2AgW (PBE, optimized geometry); space-group type = P4/mmm, No. 123; magnetic moment = 0.00 μB/atom; energy = -7.811 eV/atom
1.0
3.2314 0.0000 0.0000
0.0000 4.5069 0.0000
0.0000 0.0000 4.5069
Ti W Ag
2 1 1
direct
0.0000 0.5000 0.0000
0.0000 0.0000 0.5000
0.5000 0.5000 0.5000
0.5000 0.0000 0.0000

***

Y2MoC (PBE, optimized geometry); space-group type = I-42d, No. 122; magnetic moment = 0.00 μB/atom; energy = -8.078 eV/atom
1.0
-4.2460 -2.6127 -7.9771
2.3967 -8.9447 1.6539
-2.6688 -6.0575 -2.1419
Y Mo C
4 2 2
direct
0.8750 0.7101 0.7500
0.3750 0.5399 0.7500
0.2899 0.6250 0.2500
0.4601 0.1250 0.2500
0.7500 0.2500 0.5000
0.0000 0.0000 0.0000
0.2500 0.7500 0.5000
0.5000 0.5000 0.0000

***

PmDy6Er (PBE, optimized geometry); space-group type = P4/mmm, No. 123; magnetic moment = 0.00 μB/atom; energy = -4.594 eV/atom
1.0
5.0239 0.0000 0.0000
0.0000 5.0239 0.0000
0.0000 0.0000 10.0380
Dy Er Pm
6 1 1
direct
0.0000 0.5000 0.2478
0.5000 0.0000 0.7522
0.5000 0.0000 0.2478
0.0000 0.5000 0.7522
0.5000 0.5000 0.0000
0.5000 0.5000 0.5000
0.0000 0.0000 0.0000
0.0000 0.0000 0.5000

***

MgReHg2 (PBE, optimized geometry); space-group type = P4/mmm, No. 123; magnetic moment = 0.22 μB/atom; energy = -3.083 eV/atom
1.0
2.9430 0.0000 0.0000
0.0000 2.9430 0.0000
0.0000 0.0000 8.6606
Hg Mg Re
2 1 1
direct
0.0000 0.0000 0.9982
0.0000 0.0000 0.5018
0.5000 0.5000 0.2500
0.5000 0.5000 0.7500

***

NbCr2HIr (PBE, optimized geometry); space-group type = P4/mmm, No. 123; magnetic moment = 0.23 μB/atom; energy = -8.360 eV/atom
1.0
3.8188 0.0000 0.0000
0.0000 3.8188 0.0000
0.0000 0.0000 4.0222
Cr Ir Nb H
2 1 1 1
direct
0.0000 0.5000 0.0000
0.5000 0.0000 0.0000
0.5000 0.5000 0.5000
0.0000 0.0000 0.5000
0.0000 0.0000 0.0000

***

LuZnAg (PBE, optimized geometry); space-group type = I4mm, No. 107; magnetic moment = 0.00 μB/atom; energy = -3.129 eV/atom
1.0
-1.9822 -1.9396 -2.2080
1.3930 -2.9652 1.3542
-3.1843 2.3039 3.6804
Zn Lu Ag
1 1 1
direct
0.6277 0.6277 0.2554
0.9532 0.9532 0.9064
0.2691 0.2691 0.5382

***

Sr2BeBr (PBE, optimized geometry); space-group type = I-42d, No. 122; formation energy from raw total energies = -1.07 eV/f.u.; magnetic moment = 0.00 μB/atom
1.0
8.0830 0.0000 0.0000
0.0000 8.0830 0.0000
4.0415 4.0415 4.4715
Sr Be Br
4 2 2
direct
0.8750 0.8631 0.7500
0.3750 0.3869 0.7500
0.1369 0.6250 0.2500
0.6131 0.1250 0.2500
0.5000 0.5000 0.0000
0.2500 0.7500 0.5000
0.7500 0.2500 0.5000
0.0000 0.0000 0.0000

***

Y2Mg2H (PBE, optimized geometry); space-group type = P4/mbm, No. 127; magnetic moment = 0.00 μB/atom; energy = -3.594 eV/atom
1.0
6.4740 0.0000 0.0000
0.0000 6.4740 0.0000
0.0000 0.0000 5.6555
Y Mg H
4 4 2
direct
0.1620 0.6620 0.5000
0.8380 0.3380 0.5000
0.6620 0.8380 0.5000
0.3380 0.1620 0.5000
0.6613 0.1613 0.0000
0.1613 0.3387 0.0000
0.3387 0.8387 0.0000
0.8387 0.6613 0.0000
0.5000 0.5000 0.0000
0.0000 0.0000 0.0000

***

K2AlW (PBE, optimized geometry); space-group type = C2/m, No. 12; magnetic moment = 0.36 μB/atom; energy = -3.910 eV/atom
1.0
-0.2332 -7.9844 7.0110
2.0191 -6.3872 8.2514
-2.7484 1.5350 3.0142
K Al W
2 1 1
direct
0.3984 0.3984 0.6046
0.1016 0.1016 0.8954
0.7500 0.7500 0.7500
0.2500 0.2500 0.2500

***

DyZrTcNi (PBE, optimized geometry); space-group type = F-43m, No. 216; magnetic moment = 0.00 μB/atom; energy = -7.578 eV/atom
1.0
-0.7252 -4.6444 0.1153
2.7657 -2.7468 2.6298
-1.7052 -2.0174 3.8899
Tc Ni Zr Dy
1 1 1 1
direct
0.7500 0.7500 0.7500
0.2500 0.2500 0.2500
0.5000 0.5000 0.5000
0.0000 0.0000 0.0000

***

Y2Ni15Rh2 (PBE, optimized geometry); space-group type = R-3m, No. 166; magnetic moment = 0.44 μB/atom; energy = -6.214 eV/atom
1.0
-5.5535 -1.1806 2.7717
0.2383 -6.2976 -0.4481
2.2517 -1.1007 5.7996
Ni Rh Y
15 2 2
direct
0.0000 0.7035 0.2965
0.2965 0.7035 0.0000
0.2965 0.0000 0.7035
0.5000 0.0000 0.0000
0.3465 0.3465 0.8420
0.3465 0.8420 0.3465
0.7035 0.0000 0.2965
0.0000 0.2965 0.7035
0.1580 0.6535 0.6535
0.0000 0.5000 0.0000
0.0000 0.0000 0.5000
0.7035 0.2965 0.0000
0.6535 0.6535 0.1580
0.6535 0.1580 0.6535
0.8420 0.3465 0.3465
0.1037 0.1037 0.1037
0.8963 0.8963 0.8963
0.6576 0.6576 0.6576
0.3424 0.3424 0.3424

***

MgInAs4 (PBE, optimized geometry); space-group type = F-43m, No. 216; magnetic moment = 0.00 μB/atom; energy = -3.624 eV/atom
1.0
4.4721 0.6595 3.5037
-0.6718 2.6410 5.0283
0.2881 -2.9947 4.8640
As In Mg
4 1 1
direct
0.3752 0.3752 0.8743
0.3752 0.3752 0.3752
0.3752 0.8743 0.3752
0.8743 0.3752 0.3752
0.7500 0.7500 0.7500
0.0000 0.0000 0.0000

***

RbMg2Pb6 (PBE, optimized geometry); space-group type = Fd-3m, No. 227; magnetic moment = 0.00 μB/atom; energy = -2.674 eV/atom
1.0
-3.3466 3.8757 10.0282
-3.8615 -7.1486 7.7956
6.1297 -2.1489 9.1975
Pb Mg Rb
12 4 2
direct
0.4041 0.4041 0.0959
0.8459 0.8459 0.1541
0.0959 0.0959 0.4041
0.4041 0.0959 0.0959
0.0959 0.4041 0.0959
0.0959 0.4041 0.4041
0.1541 0.8459 0.1541
0.8459 0.1541 0.1541
0.1541 0.1541 0.8459
0.4041 0.0959 0.4041
0.1541 0.8459 0.8459
0.8459 0.1541 0.8459
0.1250 0.6250 0.1250
0.6250 0.1250 0.1250
0.1250 0.1250 0.6250
0.1250 0.1250 0.1250
0.7500 0.7500 0.7500
0.5000 0.5000 0.5000

***

AcNd12Ho7 (PBE, optimized geometry); space-group type = R-3, No. 148; magnetic moment = 0.00 μB/atom; energy = -4.451 eV/atom
1.0
8.6103 1.1414 1.7132
-1.2978 8.5881 1.7132
-1.2978 -1.7268 8.5854
Nd Ho Ac
12 7 1
direct
0.8580 0.5039 0.3734
0.6266 0.1420 0.4961
0.1420 0.4961 0.6266
0.7212 0.2755 0.1370
0.8630 0.2788 0.7245
0.2755 0.1370 0.7212
0.3734 0.8580 0.5039
0.5039 0.3734 0.8580
0.2788 0.7245 0.8630
0.1370 0.7212 0.2755
0.7245 0.8630 0.2788
0.4961 0.6266 0.1420
0.0608 0.1537 0.3871
0.1537 0.3871 0.0608
0.3871 0.0608 0.1537
0.9392 0.8463 0.6129
0.6129 0.9392 0.8463
0.5000 0.5000 0.5000
0.8463 0.6129 0.9392
0.0000 0.0000 0.0000

***

CaMgCr (PBE, optimized geometry); space-group type = I4mm, No. 107; magnetic moment = 1.49 μB/atom; energy = -3.997 eV/atom
1.0
-1.6701 -4.8690 -3.3262
3.4985 -3.9360 -3.1350
-0.7171 2.8790 5.3626
Cr Mg Ca
1 1 1
direct
0.6872 0.6872 0.0000
0.3072 0.3072 0.0000
0.0056 0.0056 0.0000

***

BeRe2W (PBE, optimized geometry); space-group type = C2/m, No. 12; magnetic moment = 0.00 μB/atom; energy = -10.273 eV/atom
1.0
4.9424 0.0092 0.0265
3.9629 2.9535 0.0265
1.9060 0.6341 3.8659
W Re Be
1 2 1
direct
0.7500 0.7500 0.7500
0.5046 0.5046 0.4957
0.9954 0.9954 0.0043
0.2500 0.2500 0.2500